Density functional theory data (PBE) for a relaxed BaAg2PdBr8 crystal.

Structure (POSCAR):
```
BaAg2PdBr8
1.0
-2.376 5.626 -1.863
-2.370 -1.706 7.351
6.226 4.722 4.357
Ba Ag Pd Br
1 2 1 8
Cartesian
3.113 2.361 2.179
2.509 4.888 5.586
-1.028 3.754 4.260
0.000 0.000 0.000
-0.831 0.176 6.683
-3.186 2.282 4.378
-1.178 5.360 0.356
2.311 8.466 3.163
4.666 6.360 5.467
2.659 3.282 9.489
0.433 3.828 6.769
1.048 4.814 3.076
```

Values from the calculation:
DFT total energy   -2.890 eV/atom
Mass density   4.378 g/cm3
M_tot   0.0 μB per formula unit
Formation energy without anion corrections   -0.706 eV per atom

Density functional theory data (PBE) for a relaxed CsLiAl3 crystal.

Structure (POSCAR):
```
CsLiAl3
1.0
-0.954 5.062 -0.265
-4.637 -0.980 -2.034
-2.046 -0.138 4.732
Cs Al Li
1 3 1
Cartesian
-3.819 1.972 1.216
-2.318 -0.490 -1.017
-1.023 -0.069 2.366
-0.477 2.531 -0.133
0.000 0.000 0.000
```

Values from the calculation:
DFT total energy   -2.240 eV/atom
Mass density   2.673 g/cm3
M_tot   0.0 μB per formula unit
Energy relative to the elements   0.56 eV/atom

Density functional theory data (PBE) for a relaxed Zr3Cu crystal.

Structure (POSCAR):
```
Zr3Cu
1.0
5.259 0.000 0.000
-2.630 5.141 -0.010
0.000 1.000 3.037
Cu Zr
1 3
Cartesian
0.040 0.000 0.000
-0.737 2.523 0.852
2.310 0.500 1.518
1.893 3.618 2.175
```

Values from the calculation:
DFT total energy   -7.477 eV/atom
Mass density   6.816 g/cm3
M_tot   0.0 μB per formula unit
Energy relative to the elements   -0.04 eV/atom

Density functional theory data (PBE) for a relaxed Ba2MgIn7 crystal.

Structure (POSCAR):
```
Ba2MgIn7
1.0
-3.792 -2.596 -1.770
2.302 -0.408 -4.334
5.480 -10.673 3.915
Ba Mg In
2 1 7
Cartesian
2.209 -9.292 2.047
2.527 -2.883 -1.185
-0.745 -1.502 -3.052
5.897 -9.446 1.223
0.090 -5.166 0.534
-1.162 -2.728 -0.360
4.646 -7.009 0.329
2.740 -5.336 1.957
0.000 0.000 0.000
1.995 -6.838 -1.095
```

Values from the calculation:
DFT total energy   -2.815 eV/atom
Mass density   5.982 g/cm3
M_tot   0.0 μB per formula unit
Energy relative to the elements   -0.35 eV/atom

Density functional theory data (PBE) for a relaxed TlReMo2 crystal.

Structure (POSCAR):
```
TlReMo2
1.0
5.369 0.002 -0.001
2.460 4.773 0.001
-3.466 -3.123 2.658
Mo Re Tl
2 1 1
Cartesian
0.106 0.065 0.000
3.809 2.322 0.000
1.454 2.018 1.329
2.909 -0.367 1.328
```

Values from the calculation:
DFT total energy   -8.494 eV/atom
Mass density   14.204 g/cm3
M_tot   0.0 μB per formula unit
Energy relative to the elements   0.62 eV/atom

Density functional theory data (PBE) for a relaxed Mn13Co2 crystal.

Structure (POSCAR):
```
Mn13Co2
1.0
-2.266 -4.741 -2.847
4.252 0.404 -4.181
3.528 -3.653 3.151
Mn Co
13 2
Cartesian
2.757 -3.995 -1.939
5.075 -3.871 -1.641
2.560 -4.343 -4.245
2.245 -6.104 -1.062
3.268 -1.886 -2.815
0.438 -4.119 -2.236
2.954 -3.647 0.368
-0.604 -1.572 -0.930
1.163 -1.240 0.900
1.384 -0.003 -1.336
4.129 -7.987 -2.541
6.118 -6.418 -2.947
4.350 -6.750 -4.777
3.949 -5.724 -2.777
1.564 -2.266 -1.100
```

Values from the calculation:
DFT total energy   -8.150 eV/atom
Mass density   6.473 g/cm3
M_tot   10.0 μB per formula unit
Energy relative to the elements   0.74 eV/atom